Entry 1:
# PrNd6Ho3

Crystalline PrNd6Ho3 at its relaxed geometry (PBE-GGA, the Alexandria database).

Unit cell a=11.052 b=19.352 c=6.385 alpha=90.00 beta=90.00 gamma=90.00
Space group Cmc2_1 (No. 36)
One atom of each set of equivalent atoms:
Pr (0.000, 0.193, 0.000) [4 per cell]
Nd (0.000, 0.036, 0.237) [4 per cell]
Nd (0.000, 0.282, 0.458) [4 per cell]
Nd (0.168, 0.460, 0.557) [8 per cell]
Nd (0.234, 0.291, 0.734) [8 per cell]
Ho (0.000, 0.384, 0.017) [4 per cell]
Ho (0.174, 0.116, 0.644) [8 per cell]

Results
formation energy: 0.141 eV per atom

Entry 2:
# BeSnS2N

Crystalline BeSnS2N at its relaxed geometry (PBE-GGA, the Alexandria database).

Unit cell a=5.061 b=5.061 c=3.987 alpha=90.00 beta=90.00 gamma=90.00
Space group P4/mmm (No. 123)
One atom of each set of equivalent atoms:
Be (0.000, 0.000, 0.000) [1 per cell]
Sn (0.500, 0.500, 0.500) [1 per cell]
S (0.000, 0.500, 0.500) [2 per cell]
N (0.500, 0.500, 0.000) [1 per cell]

Results
E_form (uncorrected): 1.1757 eV/atom